## ScCrTe2I (PBE)

Data for ScCrTe2I after structural relaxation.

Energy above the lowest structure with this stoichiometry = 41.1 meV/atom
Volume = 151 Å³ per cell

Unit cell a=5.3330 b=5.3330 c=5.3099 alpha=90.00 beta=90.00 gamma=90.00
Fractional coordinates of all 5 atoms:
Sc1 0.0000 0.0000 0.0000
Cr1 0.5000 0.5000 0.5000
Te1 0.0000 0.5000 0.5000
Te2 0.5000 0.0000 0.5000
I1 0.5000 0.5000 0.0000


## ScCrTeI2 (PBE)

Data for ScCrTeI2 after structural relaxation.

Energy above the lowest structure with this stoichiometry = 0.0 meV/atom
Volume = 183 Å³ per cell

Unit cell a=5.6694 b=5.6694 c=5.7040 alpha=90.00 beta=90.00 gamma=90.00
Fractional coordinates of all 5 atoms:
Sc1 0.0000 0.0000 0.0000
Cr1 0.5000 0.5000 0.5000
Te1 0.0000 0.0000 0.5000
I1 0.0000 0.5000 0.0000
I2 0.5000 0.0000 0.0000


## ScCrTeI2 (PBE)

Data for ScCrTeI2 after structural relaxation.

Energy above the lowest structure with this stoichiometry = 169.1 meV/atom
Volume = 161 Å³ per cell

Unit cell a=5.3944 b=5.3944 c=5.5333 alpha=90.00 beta=90.00 gamma=90.00
Fractional coordinates of all 5 atoms:
Sc1 0.0000 0.0000 0.0000
Cr1 0.5000 0.5000 0.5000
Te1 0.5000 0.5000 0.0000
I1 0.0000 0.5000 0.5000
I2 0.5000 0.0000 0.5000


## ScCrTeI2 (PBE)

Data for ScCrTeI2 after structural relaxation.

Energy above the lowest structure with this stoichiometry = 773.1 meV/atom
Volume = 229 Å³ per cell

Unit cell a=6.5966 b=6.5966 c=5.2614 alpha=90.00 beta=90.00 gamma=90.00
Fractional coordinates of all 5 atoms:
Sc1 0.0000 0.0000 0.0000
Cr1 0.5000 0.5000 0.0000
Te1 0.0000 0.0000 0.5000
I1 0.0000 0.5000 0.5000
I2 0.5000 0.0000 0.5000


## CrSeI3 (PBE)

Data for CrSeI3 after structural relaxation.

Energy above the lowest structure with this stoichiometry = 48.9 meV/atom
Volume = 147 Å³ per cell

Unit cell a=5.2731 b=5.2731 c=5.2731 alpha=90.00 beta=90.00 gamma=90.00
Fractional coordinates of all 5 atoms:
Cr1 0.0000 0.0000 0.0000
Se1 0.5000 0.5000 0.5000
I1 0.0000 0.0000 0.5000
I2 0.0000 0.5000 0.0000
I3 0.5000 0.0000 0.0000


## CrSeI3 (PBE)

Data for CrSeI3 after structural relaxation.

Energy above the lowest structure with this stoichiometry = 0.0 meV/atom
Volume = 191 Å³ per cell

Unit cell a=5.7564 b=5.7564 c=5.7564 alpha=90.00 beta=90.00 gamma=90.00
Fractional coordinates of all 5 atoms:
Cr1 0.0000 0.0000 0.0000
Se1 0.5000 0.5000 0.5000
I1 0.0000 0.5000 0.5000
I2 0.5000 0.0000 0.5000
I3 0.5000 0.5000 0.0000


## CrSeI2 (PBE)

Data for CrSeI2 after structural relaxation.

Energy above the lowest structure with this stoichiometry = 638.3 meV/atom
Volume = 107 Å³ per cell

Unit cell a=5.3268 b=5.3268 c=5.3268 alpha=60.00 beta=60.00 gamma=60.00
Fractional coordinates of all 4 atoms:
Cr1 0.0000 0.0000 0.0000
Se1 0.5000 0.5000 0.5000
I1 0.2500 0.2500 0.2500
I2 0.7500 0.7500 0.7500


## CrSeI (PBE)

Data for CrSeI after structural relaxation.

Total DFT energy (no corrections) = -5.3568 eV/atom
Volume = 188 Å³ per cell

Unit cell a=6.6630 b=3.7880 c=7.7231 alpha=90.00 beta=105.62 gamma=90.00
Fractional coordinates of all 6 atoms:
Cr1 0.2295 0.2500 0.0042
Cr2 0.7705 0.7500 0.9958
Se1 0.1377 0.7500 0.1798
Se2 0.8623 0.2500 0.8202
I1 0.3509 0.7500 0.7803
I2 0.6491 0.2500 0.2197


## CrSeI (PBE)

Data for CrSeI after structural relaxation.

Total DFT energy (no corrections) = -5.1637 eV/atom
Volume = 376 Å³ per cell

Unit cell a=14.3888 b=3.7350 c=6.9977 alpha=90.00 beta=90.00 gamma=90.00
Fractional coordinates of all 12 atoms:
Cr1 0.0406 0.2500 0.2188
Cr2 0.4594 0.7500 0.7188
Cr3 0.5406 0.2500 0.2812
Cr4 0.9594 0.7500 0.7812
Se1 0.0925 0.7500 0.0083
Se2 0.4075 0.2500 0.5083
Se3 0.5925 0.7500 0.4917
Se4 0.9075 0.2500 0.9917
I1 0.1166 0.7500 0.4891
I2 0.3834 0.2500 0.9891
I3 0.6166 0.7500 0.0109
I4 0.8834 0.2500 0.5109


## CrSeI2 (PBE)

Data for CrSeI2 after structural relaxation.

Energy above the lowest structure with this stoichiometry = 0.0 meV/atom
Volume = 253 Å³ per cell

Unit cell a=7.6460 b=7.6460 c=7.6460 alpha=95.65 beta=95.65 gamma=143.43
Fractional coordinates of all 8 atoms:
Cr1 0.0000 0.0000 0.0000
Cr2 0.7500 0.2500 0.5000
Se1 0.2500 0.7500 0.5000
Se2 0.5000 0.5000 0.0000
I1 0.3750 0.0306 0.1556
I2 0.7806 0.6250 0.6556
I3 0.8750 0.2194 0.8444
I4 0.9694 0.1250 0.3444


## CrSeI (PBE)

Data for CrSeI after structural relaxation.

Total DFT energy (no corrections) = -5.3675 eV/atom
Volume = 190 Å³ per cell

Unit cell a=3.8038 b=5.0105 c=10.1452 alpha=90.00 beta=100.37 gamma=90.00
Fractional coordinates of all 6 atoms:
Cr1 0.1974 0.2500 0.3904
Cr2 0.8026 0.7500 0.6096
Se1 0.2218 0.7500 0.4413
Se2 0.7782 0.2500 0.5587
I1 0.3967 0.7500 0.8055
I2 0.6033 0.2500 0.1945


## Cr2SeI (PBE)

Data for Cr2SeI after structural relaxation.

Energy above the lowest structure with this stoichiometry = 0.0 meV/atom
Volume = 237 Å³ per cell

Unit cell a=7.5421 b=7.5421 c=7.5421 alpha=131.30 beta=131.30 gamma=71.34
Fractional coordinates of all 8 atoms:
Cr1 0.0743 0.6250 0.9493
Cr2 0.3750 0.3243 0.4493
Cr3 0.6757 0.1250 0.0507
Cr4 0.8750 0.9257 0.5507
Se1 0.0000 0.0000 0.0000
Se2 0.7500 0.2500 0.5000
I1 0.2500 0.7500 0.5000
I2 0.5000 0.5000 0.0000


## Cr2SeI (PBE)

Data for Cr2SeI after structural relaxation.

Energy above the lowest structure with this stoichiometry = 372.8 meV/atom
Volume = 86 Å³ per cell

Unit cell a=4.9624 b=4.9624 c=4.9624 alpha=60.00 beta=60.00 gamma=60.00
Fractional coordinates of all 4 atoms:
Cr1 0.2500 0.2500 0.2500
Cr2 0.7500 0.7500 0.7500
Se1 0.0000 0.0000 0.0000
I1 0.5000 0.5000 0.5000


## CrTe2SeI (PBE)

Data for CrTe2SeI after structural relaxation.

Energy above the lowest structure with this stoichiometry = 0.0 meV/atom
Volume = 135 Å³ per cell

Unit cell a=5.0673 b=5.0673 c=5.2474 alpha=90.00 beta=90.00 gamma=90.00
Fractional coordinates of all 5 atoms:
Cr1 0.0000 0.0000 0.0000
Te1 0.0000 0.5000 0.0000
Te2 0.5000 0.0000 0.0000
Se1 0.5000 0.5000 0.5000
I1 0.0000 0.0000 0.5000


Calculated M_tot in order - 4.1, 5.0, 5.0, 5.6, 0.3, 4.9, 2.2, 6.0, 12.0, 4.1, 6.0, 18.0, 8.8, 0.0 Bohr magnetons per cell